Here is NbSbTe2N after structural relaxation from Alexandria via LeMat-Bulk. Energies are from PBE.

```
NbSbTe2N
1.0
4.722 0.000 0.000
0.000 4.722 0.000
0.000 0.000 4.664
Sb Nb Te N
1 1 2 1
direct
0.000 0.000 0.500
0.500 0.500 0.500
0.000 0.500 0.000
0.500 0.000 0.000
0.000 0.000 0.000
```

Calculated values
Raw formation energy, eV/atom: 0.75
Polymorph energy (0 for the lowest one), meV/atom: 604